Record 1
Here is a relaxed structure of ZrSb2Pt from Alexandria. Energies are from PBE.

POSCAR file:
```
ZrSb2Pt
1.0
-3.710 -1.543 -2.542
-1.800 -2.071 3.883
-1.830 3.086 0.798
Pt Sb Zr
1 2 1
Direct
0.000 0.500 0.500
0.000 0.000 0.000
0.500 0.500 0.000
0.500 0.000 0.500
```

Summary:
Magnetic moment: 0.000 μB per atom
Formation energy from raw total energies: -45.8 kJ/mol of atoms

Record 2
Here is a relaxed structure of LaScP2O8 from Alexandria. Energies are from PBE.

POSCAR file:
```
LaScP2O8
1.0
-4.225 2.341 -1.948
2.380 -3.755 -2.713
-4.061 -4.783 3.058
La Sc P O
1 1 2 8
Direct
0.000 0.000 0.000
0.000 0.000 0.500
0.667 0.333 0.225
0.333 0.667 0.775
0.333 0.667 0.995
0.343 0.174 0.299
0.826 0.169 0.299
0.667 0.333 0.005
0.174 0.831 0.701
0.657 0.826 0.701
0.169 0.343 0.701
0.831 0.657 0.299
```

Summary:
Magnetic moment: 0.000 μB per atom
Formation energy from raw total energies: -281.9 kJ/mol of atoms

Record 3
Here is a relaxed structure of HIrOs from Alexandria. Energies are from PBE.

POSCAR file:
```
HIrOs
1.0
2.747 -0.001 -0.003
-1.371 4.912 0.015
-1.368 1.259 4.865
H Ir Os
2 2 2
Direct
0.949 0.189 0.516
0.703 0.121 0.088
0.295 0.407 0.987
0.358 0.903 0.616
0.588 0.479 0.502
0.064 0.832 0.101
```

Summary:
Magnetic moment: 0.000 μB per atom
Energy above the most stable polymorph in this dataset: 0 meV per atom

Record 4
Here is a relaxed structure of Hf2TiBi2 from Alexandria. Energies are from PBE.

POSCAR file:
```
Hf2TiBi2
1.0
7.929 0.000 0.000
0.000 7.929 0.000
0.000 0.000 3.887
Hf Bi Ti
4 4 2
Direct
0.365 0.865 0.000
0.865 0.635 0.000
0.635 0.135 0.000
0.135 0.365 0.000
0.167 0.667 0.500
0.667 0.833 0.500
0.833 0.333 0.500
0.333 0.167 0.500
0.000 0.000 0.000
0.500 0.500 0.000
```

Summary:
Magnetic moment: 0.168 μB per atom
Energy of formation: 0.26 eV/atom
Energy above the most stable polymorph in this dataset: 363 meV per atom